First-principles (GGA-PBE) data for Ce5MgGa6 after structural relaxation, as listed in Alexandria.

```
12
Lattice="5.349 -0.078 0.227 -0.017 6.157 2.524 0.270 0.206 8.272" Properties=species:S:1:pos:R:3 pbc="T T T"
Ce 1.538 5.055 5.222
Ce -0.008 3.078 1.262
Ce 1.744 2.159 3.518
Ce 3.858 4.125 7.505
Ce 4.064 1.229 5.802
Ga 1.310 5.891 8.176
Ga 2.671 1.226 0.632
Ga 4.283 3.899 4.283
Ga 1.319 2.385 6.740
Ga 4.292 0.394 2.847
Ga 2.931 5.058 10.391
Mg 0.000 0.000 0.000
```

Properties
Theoretical density: 7.1 g cm⁻³
E_tot: -54.753 eV/cell
SG: C2/m

First-principles (GGA-PBE) data for HgHPd2 after structural relaxation, as listed in Alexandria.

```
4
Lattice="-1.624 1.147 2.038 -0.714 -2.606 0.897 5.366 0.001 4.275" Properties=species:S:1:pos:R:3 pbc="T T T"
Pd 4.341 0.001 3.459
Pd 1.025 0.000 0.817
Hg 1.514 -0.729 3.605
H -1.169 -0.730 1.468
```

Properties
Energy above the lowest structure with this stoichiometry: 330 meV/atom
Theoretical density: 12.4 g cm⁻³
SG: P4/mmm